# Nd4RuBr2N (PBE, optimized geometry)
data_Nd4RuBr2N
_cell_length_a 6.904
_cell_length_b 3.905
_cell_length_c 7.935
_cell_angle_alpha 90.00
_cell_angle_beta 105.81
_cell_angle_gamma 90.00
_space_group_name_H-M_alt 'P 1'
_space_group_IT_number 1
loop_
_space_group_symop_operation_xyz
'x,y,z'
loop_
_atom_site_label
_atom_site_fract_x
_atom_site_fract_y
_atom_site_fract_z
Nd1 0.218 0.000 0.181
Nd2 0.234 0.500 0.811
Nd3 0.766 0.500 0.189
Nd4 0.782 0.000 0.819
Ru1 0.500 0.000 0.000
Br1 0.000 0.000 0.500
Br2 0.500 0.500 0.500
N1 0.000 0.500 0.000
# space group	No. 10
# formation energy (no corrections)	-1.018	eV per atom
# DOS(E_F)	5.70	states/eV/cell